Entry from Alexandria via LeMat-Bulk: a relaxed structure of Co2ReHPd (PBE-GGA).

calculated total energy: -6.7941 eV per atom
symmetry: P4/mmm (123)
D(E_F): 0.936 states/eV per atom

Unit cell a=3.794 b=3.794 c=3.747 alpha=90.00 beta=90.00 gamma=90.00
Fractional coordinates of all 5 atoms:
Co 0.000 0.500 0.000
Co 0.500 0.000 0.000
Re 0.000 0.000 0.500
H 0.000 0.000 0.000
Pd 0.500 0.500 0.500